# 1
Crystalline CrReRu2 at its relaxed geometry, computed with PBE.

Cell lengths 5.3959, 7.5772, 2.6999 Å; angles 90.00, 90.00, 90.00 degrees
With the nearest neighbours (Å) after each atom.
Space group Cmmm (No. 65)
Symmetry-distinct sites (fractional):
Cr 0.0000 0.0000 0.0000 x2  8 Ru 2.69, 2 Re 2.70, 2 Cr 2.70
Re 0.0000 0.5000 0.0000 x2  8 Ru 2.69, 2 Cr 2.70, 2 Re 2.70
Ru 0.2500 0.2500 0.5000 x4  4 Cr 2.69, 4 Re 2.69, 4 Ru 2.70

Results
Energy above the lowest structure with this stoichiometry (kJ/mol of formula units): 7.9
N(E_F) (states/eV/cell): 11.53

***

# 2
Crystalline AcPmZnSb at its relaxed geometry, computed with PBE.

Cell lengths 7.7862, 7.7862, 7.7862 Å; angles 90.00, 90.00, 90.00 degrees
With the nearest neighbours (Å) after each atom.
Space group F-43m (No. 216)
Symmetry-distinct sites (fractional):
Ac 0.0000 0.0000 0.0000 x4  4 Sb 3.37, 4 Zn 3.37
Pm 0.0000 0.0000 0.5000 x4  4 Zn 3.37, 4 Sb 3.37
Zn 0.2500 0.2500 0.2500 x4  4 Ac 3.37, 4 Pm 3.37
Sb 0.2500 0.2500 0.7500 x4  4 Ac 3.37, 4 Pm 3.37

Results
Formation energy without anion corrections (eV per atom): -0.531
N(E_F) (states/eV/cell): 14.93